[1]
Density functional theory data (GGA-PBE) for a relaxed structure of Ce3Ge6Pd2Rh.

abc: 6.0234 6.0234 7.8239
angles: 90.00 90.00 120.00
Last column: nearest neighbours and their distance in Å.
Positions (direct):
Ge: 0.6250 0.8125 0.2950  1 Rh 2.53, 2 Ge 2.64, 1 Pd 2.65
Rh: 0.0000 0.0000 0.5000  6 Ge 2.53
Ce: 0.0000 0.0000 0.0000  6 Ge 3.03
Ge: 0.8125 0.6250 0.7050  1 Rh 2.53, 2 Ge 2.64, 1 Pd 2.65
Ce: 0.3333 0.6667 0.6454  1 Pd 2.91, 9 Ge 3.06-3.13
Ce: 0.6667 0.3333 0.3546  1 Pd 2.91, 9 Ge 3.06-3.13
Pd: 0.3333 0.6667 0.0173  3 Ge 2.65, 1 Ce 2.91
Pd: 0.6667 0.3333 0.9827  3 Ge 2.65, 1 Ce 2.91
Ge: 0.1875 0.8125 0.2950  1 Rh 2.53, 2 Ge 2.64, 1 Pd 2.65
Ge: 0.3750 0.1875 0.7050  1 Rh 2.53, 2 Ge 2.64, 1 Pd 2.65
Ge: 0.1875 0.3750 0.2950  1 Rh 2.53, 2 Ge 2.64, 1 Pd 2.65
Ge: 0.8125 0.1875 0.7050  1 Rh 2.53, 2 Ge 2.64, 1 Pd 2.65

Space-group type ... No. 164
ΔH_f (0 K) ... -0.50 eV/atom

***

[2]
Density functional theory data (GGA-PBE) for a relaxed structure of CeGe2PdRh2.

abc: 4.6411 4.6411 5.5344
angles: 90.00 90.00 90.00
Last column: nearest neighbours and their distance in Å.
Positions (direct):
Pd: 0.0000 0.0000 0.0000  4 Ge 2.32
Ce: 0.0000 0.0000 0.5000  2 Pd 2.77
Ge: 0.0000 0.5000 0.0000  2 Pd 2.32
Rh: 0.5000 0.5000 0.2549  2 Rh 2.71-2.82, 4 Ge 2.72
Rh: 0.5000 0.5000 0.7451  2 Rh 2.71-2.82, 4 Ge 2.72
Ge: 0.5000 0.0000 0.0000  2 Pd 2.32

Space-group type ... No. 123
ΔH_f (0 K) ... -0.17 eV/atom

***

[3]
Density functional theory data (GGA-PBE) for a relaxed structure of Ce2Ge4Pd3Rh.

abc: 4.3040 4.3040 10.2268
angles: 90.00 90.00 90.00
Last column: nearest neighbours and their distance in Å.
Positions (direct):
Ce: 0.5000 0.0000 0.2489  6 Pd 3.28-3.35, 8 Ge 3.29-3.33, 2 Rh 3.35
Ge: 0.0000 0.5000 0.3707  3 Pd 2.46-2.53, 2 Rh 2.53
Pd: 0.0000 0.5000 0.1303  5 Ge 2.46-2.53
Pd: 0.0000 0.0000 0.5000  4 Ge 2.53
Ge: 0.5000 0.0000 0.6293  3 Pd 2.46-2.53, 2 Rh 2.53
Pd: 0.5000 0.0000 0.8697  5 Ge 2.46-2.53
Rh: 0.5000 0.5000 0.5000  4 Ge 2.53
Ce: 0.0000 0.5000 0.7511  6 Pd 3.28-3.35, 8 Ge 3.29-3.33, 2 Rh 3.35
Ge: 0.5000 0.5000 0.0000  4 Pd 2.53
Ge: 0.0000 0.0000 0.0000  4 Pd 2.53

Space-group type ... No. 115
ΔH_f (0 K) ... -0.78 eV/atom

***

[4]
Density functional theory data (GGA-PBE) for a relaxed structure of Ce2Ge4PdRh3.

abc: 4.2630 4.2630 10.1653
angles: 90.00 90.00 90.00
Last column: nearest neighbours and their distance in Å.
Positions (direct):
Ge: 0.0000 0.5000 0.3660  3 Rh 2.43-2.53, 2 Pd 2.53
Ge: 0.5000 0.5000 0.0000  4 Rh 2.49
Ge: 0.0000 0.0000 0.0000  4 Rh 2.49
Ce: 0.0000 0.5000 0.7597  6 Rh 3.23-3.39, 8 Ge 3.24-3.27, 2 Pd 3.39
Pd: 0.5000 0.5000 0.5000  4 Ge 2.53
Rh: 0.0000 0.5000 0.1270  5 Ge 2.43-2.49
Ge: 0.5000 0.0000 0.6340  3 Rh 2.43-2.53, 2 Pd 2.53
Rh: 0.5000 0.0000 0.8730  5 Ge 2.43-2.49
Ce: 0.5000 0.0000 0.2403  6 Rh 3.23-3.39, 8 Ge 3.24-3.27, 2 Pd 3.39
Rh: 0.0000 0.0000 0.5000  4 Ge 2.53

Space-group type ... No. 115
ΔH_f (0 K) ... -0.83 eV/atom

***

[5]
Density functional theory data (GGA-PBE) for a relaxed structure of Ce2Ge6PdRh.

abc: 6.1294 6.1294 13.5861
angles: 76.96 76.96 60.00
Last column: nearest neighbours and their distance in Å.
Positions (direct):
Ge: 0.8038 0.8038 0.1596  1 Rh 2.51, 1 Pd 2.59, 2 Ge 2.63
Ge: 0.6559 0.6559 0.6178  1 Rh 2.52, 2 Ge 2.54, 1 Pd 2.59
Ge: 0.8038 0.2329 0.1596  1 Rh 2.51, 1 Pd 2.59, 2 Ge 2.63
Ge: 0.9297 0.3441 0.3822  1 Rh 2.52, 2 Ge 2.54, 1 Pd 2.59
Ge: 0.2329 0.8038 0.1596  1 Rh 2.51, 1 Pd 2.59, 2 Ge 2.63
Ge: 0.1962 0.1962 0.8404  1 Rh 2.51, 1 Pd 2.59, 2 Ge 2.63
Ge: 0.1962 0.7671 0.8404  1 Rh 2.51, 1 Pd 2.59, 2 Ge 2.63
Ge: 0.3441 0.3441 0.3822  1 Rh 2.52, 2 Ge 2.54, 1 Pd 2.59
Pd: 0.5000 0.5000 0.5000  6 Ge 2.59
Ce: 0.1289 0.1289 0.6134  12 Ge 3.08-3.37
Ce: 0.2806 0.2806 0.1583  9 Ge 3.07-3.28
Ge: 0.7671 0.1962 0.8404  1 Rh 2.51, 1 Pd 2.59, 2 Ge 2.63
Rh: 0.5755 0.5755 0.2735  6 Ge 2.51-2.52
Ge: 0.0703 0.6559 0.6178  1 Rh 2.52, 2 Ge 2.54, 1 Pd 2.59
Pd: 0.0000 0.0000 0.0000  6 Ge 2.59
Ce: 0.8711 0.8711 0.3866  12 Ge 3.08-3.37
Rh: 0.4245 0.4245 0.7265  6 Ge 2.51-2.52
Ge: 0.3441 0.9297 0.3822  1 Rh 2.52, 2 Ge 2.54, 1 Pd 2.59
Ce: 0.7194 0.7194 0.8417  9 Ge 3.07-3.28
Ge: 0.6559 0.0703 0.6178  1 Rh 2.52, 2 Ge 2.54, 1 Pd 2.59

Space-group type ... No. 166
ΔH_f (0 K) ... -0.43 eV/atom

***

[6]
Density functional theory data (GGA-PBE) for a relaxed structure of Ce2GeSbPd6.

abc: 6.5564 6.6661 5.4638
angles: 65.83 65.40 73.80
Last column: nearest neighbours and their distance in Å.
Positions (direct):
Pd: 0.6775 0.8003 0.5122  1 Ge 2.61, 3 Pd 2.72-2.84, 1 Sb 2.77
Pd: 0.9250 0.4369 0.8190  1 Ge 2.51, 1 Sb 2.64
Pd: 0.3224 0.1998 0.9897  1 Ge 2.61, 3 Pd 2.72-2.84, 1 Sb 2.77
Pd: 0.6776 0.8002 0.0103  1 Ge 2.61, 3 Pd 2.72-2.84, 1 Sb 2.77
Ce: 0.2526 0.7482 0.4995  7 Pd 2.89-3.19
Pd: 0.0750 0.5631 0.1810  1 Ge 2.51, 1 Sb 2.64
Ge: 0.5000 0.5000 0.0000  6 Pd 2.51-2.61
Sb: 0.0000 0.0000 0.0000  6 Pd 2.64-2.77
Pd: 0.3225 0.1997 0.4878  1 Ge 2.61, 3 Pd 2.72-2.84, 1 Sb 2.77
Ce: 0.7474 0.2518 0.5005  7 Pd 2.89-3.19

Space-group type ... No. 12
Energy relative to the elements, uncorrected ... -0.6452 eV per atom

***

[7]
Density functional theory data (GGA-PBE) for a relaxed structure of Ce2Ge3SbPd4.

abc: 4.4098 4.4098 10.3665
angles: 90.00 90.00 90.00
Last column: nearest neighbours and their distance in Å.
Positions (direct):
Ge: 0.5000 0.0000 0.8753  5 Pd 2.45-2.56
Ge: 0.0000 0.5000 0.1247  5 Pd 2.45-2.56
Pd: 0.5000 0.0000 0.6391  3 Ge 2.45-2.63, 2 Sb 2.63
Ce: 0.5000 0.0000 0.2374  8 Pd 3.30-3.37, 6 Ge 3.33-3.50, 2 Sb 3.50
Ge: 0.0000 0.0000 0.5000  4 Pd 2.63
Pd: 0.0000 0.0000 0.0000  4 Ge 2.56
Pd: 0.5000 0.5000 0.0000  4 Ge 2.56
Pd: 0.0000 0.5000 0.3609  3 Ge 2.45-2.63, 2 Sb 2.63
Ce: 0.0000 0.5000 0.7626  8 Pd 3.30-3.37, 6 Ge 3.33-3.50, 2 Sb 3.50
Sb: 0.5000 0.5000 0.5000  4 Pd 2.63

Space-group type ... No. 115
Energy relative to the elements, uncorrected ... -0.7504 eV per atom

***

[8]
Density functional theory data (GGA-PBE) for a relaxed structure of CeGe2Sb2Pd7.

abc: 4.0190 4.0190 14.9055
angles: 85.42 85.42 90.06
Last column: nearest neighbours and their distance in Å.
Positions (direct):
Ce: 0.0000 0.0000 0.0000  12 Pd 2.84-2.97
Pd: 0.9562 0.4560 0.1479  2 Ge 2.52
Pd: 0.6287 0.6287 0.5835  1 Ge 2.46, 1 Sb 2.74
Ge: 0.5738 0.5738 0.7495  5 Pd 2.46-2.52
Pd: 0.0438 0.5440 0.8521  2 Ge 2.52
Pd: 0.5000 0.5000 0.0000  4 Ce 2.84, 8 Pd 2.97
Sb: 0.1313 0.1313 0.5868  5 Pd 2.74-2.86
Pd: 0.4560 0.9562 0.1479  2 Ge 2.52
Pd: 0.3713 0.3713 0.4165  1 Ge 2.46, 1 Sb 2.74
Pd: 0.5440 0.0438 0.8521  2 Ge 2.52
Ge: 0.4262 0.4262 0.2505  5 Pd 2.46-2.52
Sb: 0.8687 0.8687 0.4132  5 Pd 2.74-2.86

Space-group type ... No. 12
Energy relative to the elements, uncorrected ... -0.4325 eV per atom

***

[9]
Density functional theory data (GGA-PBE) for a relaxed structure of Ce2GeSb3Pd4.

abc: 4.5741 4.5741 10.4671
angles: 90.00 90.00 90.00
Last column: nearest neighbours and their distance in Å.
Positions (direct):
Sb: 0.0000 0.0000 0.5000  4 Pd 2.61
Ge: 0.5000 0.5000 0.5000  4 Pd 2.61
Pd: 0.0000 0.5000 0.3807  3 Sb 2.58-2.61, 2 Ge 2.61
Pd: 0.5000 0.0000 0.6193  3 Sb 2.58-2.61, 2 Ge 2.61
Ce: 0.0000 0.5000 0.7484  6 Sb 3.46, 2 Ge 3.46, 9 Pd 3.49-3.85
Pd: 0.5000 0.5000 0.0000  4 Sb 2.68
Sb: 0.5000 0.0000 0.8659  5 Pd 2.58-2.68
Sb: 0.0000 0.5000 0.1341  5 Pd 2.58-2.68
Pd: 0.0000 0.0000 0.0000  4 Sb 2.68
Ce: 0.5000 0.0000 0.2516  6 Sb 3.46, 2 Ge 3.46, 9 Pd 3.49-3.85

Space-group type ... No. 115
Energy relative to the elements, uncorrected ... -0.7804 eV per atom

***

[10]
Density functional theory data (GGA-PBE) for a relaxed structure of Ce2ScGe3Pd4.

abc: 4.1919 4.1919 11.2181
angles: 90.00 90.00 90.00
Last column: nearest neighbours and their distance in Å.
Positions (direct):
Ce: 0.5000 0.0000 0.2321  4 Ge 3.18, 8 Pd 3.25-3.34
Ge: 0.0000 0.0000 0.5000  4 Pd 2.68, 4 Sc 2.96
Pd: 0.5000 0.5000 0.0000  4 Ge 2.55
Ge: 0.5000 0.0000 0.8710  5 Pd 2.49-2.55
Pd: 0.5000 0.0000 0.6489  3 Ge 2.49-2.68, 2 Sc 2.68
Ge: 0.0000 0.5000 0.1290  5 Pd 2.49-2.55
Pd: 0.0000 0.5000 0.3511  3 Ge 2.49-2.68, 2 Sc 2.68
Pd: 0.0000 0.0000 0.0000  4 Ge 2.55
Ce: 0.0000 0.5000 0.7679  4 Ge 3.18, 8 Pd 3.25-3.34
Sc: 0.5000 0.5000 0.5000  4 Pd 2.68, 4 Ge 2.96

Space-group type ... No. 115
ΔH_f (0 K) ... -0.81 eV/atom

***

[11]
Density functional theory data (GGA-PBE) for a relaxed structure of Ce2Si3GePd4.

abc: 4.2801 4.2801 9.9158
angles: 90.00 90.00 90.00
Last column: nearest neighbours and their distance in Å.
Positions (direct):
Pd: 0.0000 0.5000 0.3715  3 Si 2.41-2.49, 2 Ge 2.49
Pd: 0.0000 0.0000 0.0000  4 Si 2.49
Pd: 0.5000 0.0000 0.6285  3 Si 2.41-2.49, 2 Ge 2.49
Pd: 0.5000 0.5000 0.0000  4 Si 2.49
Si: 0.0000 0.0000 0.5000  4 Pd 2.49
Si: 0.5000 0.0000 0.8714  5 Pd 2.41-2.49
Ge: 0.5000 0.5000 0.5000  4 Pd 2.49
Si: 0.0000 0.5000 0.1286  5 Pd 2.41-2.49
Ce: 0.5000 0.0000 0.2512  8 Pd 3.25-3.28, 6 Si 3.26-3.27, 2 Ge 3.27
Ce: 0.0000 0.5000 0.7488  8 Pd 3.25-3.28, 6 Si 3.26-3.27, 2 Ge 3.27

Space-group type ... No. 115
Energy relative to the elements, uncorrected ... -0.8456 eV per atom

***

[12]
Density functional theory data (GGA-PBE) for a relaxed structure of Ce2SiGePd6.

abc: 6.5253 6.4292 5.4526
angles: 64.99 65.36 76.12
Last column: nearest neighbours and their distance in Å.
Positions (direct):
Pd: 0.9158 0.4105 0.8369  1 Si 2.41, 1 Ge 2.48
Pd: 0.7089 0.8059 0.4920  1 Si 2.53, 1 Ge 2.63, 3 Pd 2.72-2.82
Si: 0.0000 0.0000 0.0000  6 Pd 2.41-2.53
Pd: 0.2919 0.1933 0.0066  1 Si 2.53, 1 Ge 2.63, 3 Pd 2.72-2.83
Pd: 0.0842 0.5895 0.1631  1 Si 2.41, 1 Ge 2.48
Ce: 0.2566 0.7512 0.4964  7 Pd 2.94-3.08
Pd: 0.2911 0.1941 0.5080  1 Si 2.53, 1 Ge 2.63, 3 Pd 2.72-2.82
Ce: 0.7434 0.2488 0.5036  7 Pd 2.94-3.08
Ge: 0.5000 0.5000 0.0000  6 Pd 2.48-2.63
Pd: 0.7081 0.8067 0.9934  1 Si 2.53, 1 Ge 2.63, 3 Pd 2.72-2.83

Space-group type ... No. 2
Energy relative to the elements, uncorrected ... -0.6728 eV per atom

***

no.,density of states at the Fermi level (states/eV per atom)
1,1.329
2,1.318
3,1.420
4,1.061
5,1.285
6,1.428
7,1.478
8,0.633
9,1.535
10,1.593
11,1.162
12,1.372